No. 1
4
Lattice="-5.5210 2.1033 7.1651 -6.3973 -1.0517 6.6493 -3.7346 -0.3517 8.4955" Properties=species:S:1:pos:R:3 comment="Al2InHg, relaxed, DFT PBE-GGA" volume_a3_per_atom=21.62 e_form_ev_per_atom=0.17 magmom_total_mub_per_atom=0.00 sg="No. 166" pbc="T T T"
In -11.7396 0.5249 16.7325
Hg -3.9132 0.1750 5.5775
Al -7.8925 0.3529 11.2492
Al -15.5867 0.6969 22.2157

=====

No. 2
4
Lattice="3.3545 0.0000 0.0000 0.0000 5.8262 0.0000 0.0000 0.0000 4.9949" Properties=species:S:1:pos:R:3 comment="AlInHg2, relaxed, DFT PBE-GGA" volume_a3_per_atom=24.40 e_form_ev_per_atom=0.14 polymorph_energy_kj_per_mol_atoms=6.9 magmom_total_mub_per_atom=0.00 sg="No. 47" pbc="T T T"
Al 0.0000 2.9131 2.4975
In 1.6772 0.0000 2.4975
Hg 0.0000 0.0000 0.0000
Hg 1.6772 2.9131 0.0000

=====

- Which formula does entry 1 have?
  Al2InHg